--- P ---
A plane-wave DFT calculation with PBE was carried out for a geometry-optimized GeAsCl structure.

Computed properties:
The spin magnetization comes out at 0.000 Bohr magnetons per cell.

Unit cell a=5.658 b=15.771 c=3.864 alpha=90.00 beta=90.00 gamma=90.00
Space group Pnnm (No. 58)
Asymmetric unit:
Ge1 0.029 0.202 0.000
As1 0.231 0.834 0.500
Cl1 0.231 0.591 0.500

--- Q ---
A plane-wave DFT calculation with PBE was carried out for a geometry-optimized GeAsCl structure.

Computed properties:
The spin magnetization comes out at 0.000 Bohr magnetons per cell.

Unit cell a=3.823 b=6.416 c=7.228 alpha=89.99 beta=89.89 gamma=89.96
Space group P1 (No. 1)
Asymmetric unit:
Ge1 0.000 0.000 0.000
Ge2 0.500 0.500 0.079
As1 0.000 0.630 0.889
As2 0.499 0.130 0.189
Cl1 0.000 0.153 0.724
Cl2 0.498 0.652 0.355

Tell me which of them is the least stable. Sure, it is Q.

--- P ---
A plane-wave DFT calculation with PBE was carried out for a geometry-optimized Ge3AsCl structure.

Computed properties:
The spin magnetization comes out at 0.000 Bohr magnetons per cell.

Unit cell a=4.982 b=4.982 c=4.982 alpha=90.00 beta=90.00 gamma=90.00
Space group Pm-3m (No. 221)
Asymmetric unit:
Ge1 0.000 0.000 0.500
As1 0.500 0.500 0.500
Cl1 0.000 0.000 0.000

--- Q ---
A plane-wave DFT calculation with PBE was carried out for a geometry-optimized Ge3AsCl structure.

Computed properties:
The spin magnetization comes out at 0.000 Bohr magnetons per cell.

Unit cell a=5.167 b=5.167 c=5.167 alpha=90.00 beta=90.00 gamma=90.00
Space group Pm-3m (No. 221)
Asymmetric unit:
Ge1 0.000 0.000 0.500
As1 0.000 0.000 0.000
Cl1 0.500 0.500 0.500

Tell me which of them is the least stable. Sure, it is P.

--- P ---
A plane-wave DFT calculation with PBE was carried out for a geometry-optimized GeAsSe2Cl structure.

Computed properties:
The spin magnetization comes out at 0.001 Bohr magnetons per cell.

Unit cell a=5.171 b=5.171 c=4.704 alpha=90.00 beta=90.00 gamma=90.00
Space group P4/mmm (No. 123)
Asymmetric unit:
Ge1 0.000 0.000 0.000
As1 0.500 0.500 0.000
Se1 0.000 0.500 0.500
Cl1 0.500 0.500 0.500

--- Q ---
A plane-wave DFT calculation with PBE was carried out for a geometry-optimized GeAsSe2Cl structure.

Computed properties:
The spin magnetization comes out at 0.000 Bohr magnetons per cell.

Unit cell a=4.914 b=4.914 c=5.254 alpha=90.00 beta=90.00 gamma=90.00
Space group P4/mmm (No. 123)
Asymmetric unit:
Ge1 0.000 0.000 0.000
As1 0.000 0.000 0.500
Se1 0.000 0.500 0.000
Cl1 0.500 0.500 0.500

Tell me which of them is the least stable. Sure, it is P.

--- P ---
A plane-wave DFT calculation with PBE was carried out for a geometry-optimized AsHCl2 structure.

Computed properties:
The spin magnetization comes out at 0.000 Bohr magnetons per cell.

Unit cell a=3.3447 b=3.3447 c=22.7205 alpha=90.00 beta=90.00 gamma=120.00
Space group R-3m (No. 166, hexagonal axes)
Asymmetric unit:
As1 0.0000 0.0000 0.0000
H1 0.0000 0.0000 0.5000
Cl1 0.0000 0.0000 0.4312

--- Q ---
A plane-wave DFT calculation with PBE was carried out for a geometry-optimized AsHCl2 structure.

Computed properties:
The spin magnetization comes out at 0.000 Bohr magnetons per cell.

Unit cell a=5.657 b=5.657 c=9.025 alpha=90.00 beta=90.00 gamma=90.00
Space group I-42d (No. 122)
Asymmetric unit:
As1 0.000 0.000 0.000
H1 0.000 0.000 0.500
Cl1 0.136 0.250 0.625

Tell me which of them is the least stable. Sure, it is Q.

--- P ---
A plane-wave DFT calculation with PBE was carried out for a geometry-optimized AsHCl2 structure.

Computed properties:
The spin magnetization comes out at 1.479 Bohr magnetons per cell.

Unit cell a=6.519 b=6.519 c=6.519 alpha=90.00 beta=90.00 gamma=90.00
Space group Fm-3m (No. 225)
Asymmetric unit:
As1 0.000 0.000 0.000
H1 0.000 0.000 0.500
Cl1 0.250 0.250 0.250

--- Q ---
A plane-wave DFT calculation with PBE was carried out for a geometry-optimized AsHCl2 structure.

Computed properties:
The spin magnetization comes out at 0.000 Bohr magnetons per cell.

Unit cell a=3.2600 b=3.2600 c=22.2216 alpha=90.00 beta=90.00 gamma=120.00
Space group R-3m (No. 166, hexagonal axes)
Asymmetric unit:
As1 0.0000 0.0000 0.0000
H1 0.0000 0.0000 0.5000
Cl1 0.0000 0.0000 0.1091

Tell me which of them is the least stable. Sure, it is P.

--- P ---
A plane-wave DFT calculation with PBE was carried out for a geometry-optimized AsHCl3 structure.

Computed properties:
The spin magnetization comes out at 0.000 Bohr magnetons per cell.

Unit cell a=4.457 b=11.178 c=6.116 alpha=90.00 beta=93.28 gamma=90.00
Space group P2_1/m (No. 11)
Asymmetric unit:
As1 0.045 0.250 0.218
H1 0.019 0.750 0.469
Cl1 0.037 0.750 0.236
Cl2 0.358 0.098 0.243

--- Q ---
A plane-wave DFT calculation with PBE was carried out for a geometry-optimized AsHCl3 structure.

Computed properties:
The spin magnetization comes out at 0.000 Bohr magnetons per cell.

Unit cell a=4.360 b=4.360 c=4.360 alpha=90.00 beta=90.00 gamma=90.00
Space group Pm-3m (No. 221)
Asymmetric unit:
As1 0.000 0.000 0.000
H1 0.500 0.500 0.500
Cl1 0.000 0.500 0.500

--- R ---
A plane-wave DFT calculation with PBE was carried out for a geometry-optimized AsHCl3 structure.

Computed properties:
The spin magnetization comes out at 1.000 Bohr magnetons per cell.

Unit cell a=4.971 b=4.971 c=4.971 alpha=90.00 beta=90.00 gamma=90.00
Space group Pm-3m (No. 221)
Asymmetric unit:
As1 0.000 0.000 0.000
H1 0.500 0.500 0.500
Cl1 0.000 0.000 0.500

Tell me which of them is the least stable. Sure, it is Q.

--- P ---
A plane-wave DFT calculation with PBE was carried out for a geometry-optimized As2HCl structure.

Computed properties:
The spin magnetization comes out at 0.000 Bohr magnetons per cell.

Unit cell a=6.427 b=6.427 c=6.427 alpha=90.00 beta=90.00 gamma=90.00
Space group Fm-3m (No. 225)
Asymmetric unit:
As1 0.250 0.250 0.250
H1 0.000 0.000 0.000
Cl1 0.000 0.000 0.500

--- Q ---
A plane-wave DFT calculation with PBE was carried out for a geometry-optimized As2HCl structure.

Computed properties:
The spin magnetization comes out at 0.000 Bohr magnetons per cell.

Unit cell a=5.487 b=5.487 c=9.815 alpha=90.00 beta=90.00 gamma=90.00
Space group I-42d (No. 122)
Asymmetric unit:
As1 0.103 0.250 0.125
H1 0.000 0.000 0.000
Cl1 0.000 0.000 0.500

Tell me which of them is the least stable. Sure, it is P.

--- P ---
A plane-wave DFT calculation with PBE was carried out for a geometry-optimized AsH3Cl structure.

Computed properties:
The spin magnetization comes out at 0.000 Bohr magnetons per cell.

Unit cell a=3.690 b=3.690 c=3.690 alpha=90.00 beta=90.00 gamma=90.00
Space group Pm-3m (No. 221)
Asymmetric unit:
As1 0.000 0.000 0.000
H1 0.000 0.000 0.500
Cl1 0.500 0.500 0.500

--- Q ---
A plane-wave DFT calculation with PBE was carried out for a geometry-optimized AsH3Cl structure.

Computed properties:
The spin magnetization comes out at 0.000 Bohr magnetons per cell.

Unit cell a=6.7605 b=6.7605 c=5.7875 alpha=90.00 beta=90.00 gamma=120.00
Space group R3m (No. 160, hexagonal axes)
Asymmetric unit:
As1 0.0000 0.0000 0.0000
H1 0.0983 0.5492 0.7818
Cl1 0.0000 0.0000 0.5366

Tell me which of them is the least stable. Sure, it is P.

--- P ---
A plane-wave DFT calculation with PBE was carried out for a geometry-optimized LaTlAsHCl structure.

Computed properties:
The spin magnetization comes out at 0.000 Bohr magnetons per cell.

Unit cell a=4.302 b=5.362 c=6.297 alpha=90.12 beta=90.00 gamma=112.88
Space group P1 (No. 1)
Asymmetric unit:
La1 0.000 0.000 0.000
Tl1 0.700 0.417 0.501
As1 0.019 0.035 0.500
H1 0.423 0.841 0.998
Cl1 0.705 0.414 0.001

--- Q ---
A plane-wave DFT calculation with PBE was carried out for a geometry-optimized LaTlAsHCl structure.

Computed properties:
The spin magnetization comes out at 0.000 Bohr magnetons per cell.

Unit cell a=3.910 b=4.413 c=8.174 alpha=90.00 beta=93.01 gamma=90.00
Space group Pm (No. 6)
Asymmetric unit:
La1 0.000 0.000 0.000
Tl1 0.939 0.500 0.445
As1 0.516 0.500 0.125
H1 0.768 0.500 0.963
Cl1 0.465 0.000 0.743

--- R ---
A plane-wave DFT calculation with PBE was carried out for a geometry-optimized LaTlAsHCl structure.

Computed properties:
The spin magnetization comes out at 0.000 Bohr magnetons per cell.

Unit cell a=3.974 b=3.985 c=9.536 alpha=89.57 beta=89.69 gamma=60.15
Space group P1 (No. 1)
Asymmetric unit:
La1 0.000 0.000 0.000
Tl1 0.998 0.992 0.450
As1 0.332 0.331 0.234
H1 0.667 0.665 0.012
Cl1 0.334 0.337 0.808

--- S ---
A plane-wave DFT calculation with PBE was carried out for a geometry-optimized LaTlAsHCl structure.

Computed properties:
The spin magnetization comes out at 0.000 Bohr magnetons per cell.

Unit cell a=4.054 b=4.053 c=7.621 alpha=90.00 beta=105.03 gamma=90.00
Space group Pm (No. 6)
Asymmetric unit:
La1 0.000 0.000 0.000
Tl1 0.713 0.000 0.438
As1 0.151 0.500 0.312
H1 0.566 0.000 0.135
Cl1 0.426 0.500 0.847

Tell me which of them is the least stable. Sure, it is S.

--- P ---
A plane-wave DFT calculation with PBE was carried out for a geometry-optimized LaTlAsHCl structure.

Computed properties:
The spin magnetization comes out at 0.000 Bohr magnetons per cell.

Unit cell a=3.9845 b=3.9845 c=28.5892 alpha=90.00 beta=90.00 gamma=120.00
Space group R3m (No. 160, hexagonal axes)
Asymmetric unit:
La1 0.0000 0.0000 0.0000
Tl1 0.0000 0.0000 0.1500
As1 0.0000 0.0000 0.7447
H1 0.0000 0.0000 0.3376
Cl1 0.0000 0.0000 0.6026

--- Q ---
A plane-wave DFT calculation with PBE was carried out for a geometry-optimized LaTlAsHCl structure.

Computed properties:
The spin magnetization comes out at 0.006 Bohr magnetons per cell.

Unit cell a=4.051 b=4.051 c=8.916 alpha=81.06 beta=80.89 gamma=67.97
Space group P1 (No. 1)
Asymmetric unit:
La1 0.000 0.000 0.000
Tl1 0.873 0.868 0.566
As1 0.417 0.415 0.792
H1 0.192 0.190 0.746
Cl1 0.295 0.297 0.205

--- R ---
A plane-wave DFT calculation with PBE was carried out for a geometry-optimized LaTlAsHCl structure.

Computed properties:
The spin magnetization comes out at 0.000 Bohr magnetons per cell.

Unit cell a=7.310 b=4.208 c=8.823 alpha=90.00 beta=90.89 gamma=90.00
Space group Cm (No. 8)
Asymmetric unit:
La1 0.000 0.000 0.000
Tl1 0.493 0.500 0.570
As1 0.165 0.500 0.781
H1 0.166 0.500 0.995
Cl1 0.336 0.000 0.191

Tell me which of them is the least stable. Sure, it is Q.

--- P ---
A plane-wave DFT calculation with PBE was carried out for a geometry-optimized LaTlAsHCl structure.

Computed properties:
The spin magnetization comes out at 0.491 Bohr magnetons per cell.

Unit cell a=7.290 b=4.209 c=8.525 alpha=90.00 beta=106.18 gamma=90.00
Space group Cm (No. 8)
Asymmetric unit:
La1 0.000 0.000 0.000
Tl1 0.196 0.000 0.579
As1 0.089 0.500 0.760
H1 0.329 0.000 0.988
Cl1 0.237 0.500 0.214

--- Q ---
A plane-wave DFT calculation with PBE was carried out for a geometry-optimized LaTlAsHCl structure.

Computed properties:
The spin magnetization comes out at 0.000 Bohr magnetons per cell.

Unit cell a=4.162 b=5.344 c=6.122 alpha=89.34 beta=70.23 gamma=67.85
Space group P1 (No. 1)
Asymmetric unit:
La1 0.000 0.000 0.000
Tl1 0.065 0.388 0.499
As1 0.713 0.001 0.569
H1 0.347 0.179 0.130
Cl1 0.665 0.594 0.070

Tell me which of them is the least stable. Sure, it is Q.